1.
A geometry-optimized Ba2FeCo structure, computed with PBE-GGA.

Lattice parameters (Å, degrees): 7.7447 7.7447 7.7447 90.00 90.00 90.00
Last column: nearest neighbours and their distance in Å.
Positions (direct):
Ba 0.2500 0.2500 0.2500  4 Co 3.35, 4 Fe 3.35
Ba 0.2500 0.2500 0.7500  4 Fe 3.35, 4 Co 3.35
Ba 0.2500 0.7500 0.2500  4 Fe 3.35, 4 Co 3.35
Ba 0.2500 0.7500 0.7500  4 Co 3.35, 4 Fe 3.35
Ba 0.7500 0.2500 0.2500  4 Fe 3.35, 4 Co 3.35
Ba 0.7500 0.2500 0.7500  4 Co 3.35, 4 Fe 3.35
Ba 0.7500 0.7500 0.2500  4 Co 3.35, 4 Fe 3.35
Ba 0.7500 0.7500 0.7500  4 Fe 3.35, 4 Co 3.35
Fe 0.0000 0.0000 0.0000  8 Ba 3.35
Fe 0.0000 0.5000 0.5000  8 Ba 3.35
Fe 0.5000 0.0000 0.5000  8 Ba 3.35
Fe 0.5000 0.5000 0.0000  8 Ba 3.35
Co 0.0000 0.0000 0.5000  8 Ba 3.35
Co 0.0000 0.5000 0.0000  8 Ba 3.35
Co 0.5000 0.0000 0.0000  8 Ba 3.35
Co 0.5000 0.5000 0.5000  8 Ba 3.35

Energy relative to the elements (eV/atom): 0.8251
Fermi-level density of states (states/eV/atom): 2.876
Total moment (μB/cell): 13.81


2.
A geometry-optimized Ba2FeCo structure, computed with PBE-GGA.

Lattice parameters (Å, degrees): 7.4888 7.4888 7.4888 90.00 90.00 90.00
Last column: nearest neighbours and their distance in Å.
Positions (direct):
Ba 0.0000 0.0000 0.0000  4 Fe 3.24, 4 Ba 3.24
Ba 0.0000 0.5000 0.5000  4 Fe 3.24, 4 Ba 3.24
Ba 0.2500 0.2500 0.2500  4 Ba 3.24, 4 Co 3.24
Ba 0.2500 0.7500 0.7500  4 Ba 3.24, 4 Co 3.24
Ba 0.5000 0.0000 0.5000  4 Fe 3.24, 4 Ba 3.24
Ba 0.5000 0.5000 0.0000  4 Fe 3.24, 4 Ba 3.24
Ba 0.7500 0.2500 0.7500  4 Ba 3.24, 4 Co 3.24
Ba 0.7500 0.7500 0.2500  4 Ba 3.24, 4 Co 3.24
Fe 0.2500 0.2500 0.7500  4 Ba 3.24, 4 Co 3.24
Fe 0.2500 0.7500 0.2500  4 Ba 3.24, 4 Co 3.24
Fe 0.7500 0.2500 0.2500  4 Ba 3.24, 4 Co 3.24
Fe 0.7500 0.7500 0.7500  4 Ba 3.24, 4 Co 3.24
Co 0.0000 0.0000 0.5000  4 Ba 3.24, 4 Fe 3.24
Co 0.0000 0.5000 0.0000  4 Ba 3.24, 4 Fe 3.24
Co 0.5000 0.0000 0.0000  4 Ba 3.24, 4 Fe 3.24
Co 0.5000 0.5000 0.5000  4 Ba 3.24, 4 Fe 3.24

Energy relative to the elements (eV/atom): 0.9410
Fermi-level density of states (states/eV/atom): 2.043
Total moment (μB/cell): 15.51


3.
A geometry-optimized BaFeCo structure, computed with PBE-GGA.

Lattice parameters (Å, degrees): 3.9849 3.9849 5.0095 90.00 90.00 120.00
Last column: nearest neighbours and their distance in Å.
Positions (direct):
Ba 0.0000 0.0000 0.0000  6 Fe 3.40, 6 Co 3.40
Fe 0.6667 0.3333 0.5000  3 Co 2.30
Co 0.3333 0.6667 0.5000  3 Fe 2.30

Energy relative to the elements (eV/atom): 0.4981
Fermi-level density of states (states/eV/atom): 1.134
Total moment (μB/cell): 3.08


4.
A geometry-optimized BaFeCo3 structure, computed with PBE-GGA.

Lattice parameters (Å, degrees): 4.5683 4.5683 4.5683 90.00 90.00 90.00
Last column: nearest neighbours and their distance in Å.
Positions (direct):
Ba 0.0000 0.0000 0.0000  12 Co 3.23
Fe 0.5000 0.5000 0.5000  6 Co 2.28
Co 0.0000 0.5000 0.5000  2 Fe 2.28
Co 0.5000 0.0000 0.5000  2 Fe 2.28
Co 0.5000 0.5000 0.0000  2 Fe 2.28

Energy relative to the elements (eV/atom): 0.7599
Fermi-level density of states (states/eV/atom): 1.288
Total moment (μB/cell): 6.90


5.
A geometry-optimized BaFeCo2 structure, computed with PBE-GGA.

Lattice parameters (Å, degrees): 6.5963 6.5963 6.5963 90.00 90.00 90.00
Last column: nearest neighbours and their distance in Å.
Positions (direct):
Ba 0.0000 0.0000 0.0000  8 Co 2.86
Ba 0.0000 0.5000 0.5000  8 Co 2.86
Ba 0.5000 0.0000 0.5000  8 Co 2.86
Ba 0.5000 0.5000 0.0000  8 Co 2.86
Fe 0.0000 0.0000 0.5000  8 Co 2.86
Fe 0.0000 0.5000 0.0000  8 Co 2.86
Fe 0.5000 0.0000 0.0000  8 Co 2.86
Fe 0.5000 0.5000 0.5000  8 Co 2.86
Co 0.2500 0.2500 0.2500  4 Ba 2.86, 4 Fe 2.86
Co 0.2500 0.2500 0.7500  4 Ba 2.86, 4 Fe 2.86
Co 0.2500 0.7500 0.2500  4 Ba 2.86, 4 Fe 2.86
Co 0.2500 0.7500 0.7500  4 Ba 2.86, 4 Fe 2.86
Co 0.7500 0.2500 0.2500  4 Ba 2.86, 4 Fe 2.86
Co 0.7500 0.2500 0.7500  4 Ba 2.86, 4 Fe 2.86
Co 0.7500 0.7500 0.2500  4 Ba 2.86, 4 Fe 2.86
Co 0.7500 0.7500 0.7500  4 Fe 2.86, 4 Ba 2.86

Energy relative to the elements (eV/atom): 1.0072
Fermi-level density of states (states/eV/atom): 1.313
Total moment (μB/cell): 20.87


6.
A geometry-optimized BaFeCo2 structure, computed with PBE-GGA.

Lattice parameters (Å, degrees): 6.5805 6.6056 3.2772 90.00 90.00 90.00
Last column: nearest neighbours and their distance in Å.
Positions (direct):
Ba 0.0000 0.0000 0.0000  8 Co 2.85
Ba 0.5000 0.5000 0.0000  8 Co 2.85
Fe 0.0000 0.5000 0.0000  8 Co 2.85
Fe 0.5000 0.0000 0.0000  8 Co 2.85
Co 0.2500 0.2500 0.5000  4 Ba 2.85, 4 Fe 2.85
Co 0.2500 0.7500 0.5000  4 Ba 2.85, 4 Fe 2.85
Co 0.7500 0.2500 0.5000  4 Ba 2.85, 4 Fe 2.85
Co 0.7500 0.7500 0.5000  4 Ba 2.85, 4 Fe 2.85

Energy relative to the elements (eV/atom): 1.0234
Fermi-level density of states (states/eV/atom): 1.223
Total moment (μB/cell): 10.40


7.
A geometry-optimized BaFeCo2 structure, computed with PBE-GGA.

Lattice parameters (Å, degrees): 4.2282 4.0009 5.3245 90.00 101.18 90.00
Last column: nearest neighbours and their distance in Å.
Positions (direct):
Ba 0.0000 0.0000 0.0000  2 Fe 3.06, 4 Co 3.36
Fe 0.5000 0.0000 0.5000  4 Co 2.31
Co 0.2609 0.5000 0.5757  2 Co 2.20-2.32, 2 Fe 2.31
Co 0.7391 0.5000 0.4243  2 Co 2.20-2.32, 2 Fe 2.31

Energy relative to the elements (eV/atom): 0.6112
Fermi-level density of states (states/eV/atom): 1.003
Total moment (μB/cell): 4.72


8.
A geometry-optimized BaFeCo2 structure, computed with PBE-GGA.

Lattice parameters (Å, degrees): 3.0625 5.2548 9.4863 90.00 90.00 90.00
Last column: nearest neighbours and their distance in Å.
Positions (direct):
Ba 0.0000 0.0000 0.0000  8 Co 3.04-3.25, 2 Ba 3.06, 4 Fe 3.20-3.29
Ba 0.5000 0.5000 0.5000  8 Co 3.04-3.25, 2 Ba 3.06, 4 Fe 3.20-3.29
Fe 0.0000 0.5000 0.8073  2 Co 2.41
Fe 0.5000 0.0000 0.3073  2 Co 2.41
Co 0.0000 0.0000 0.5034  2 Co 2.40, 2 Fe 2.41
Co 0.0000 0.5000 0.1981  2 Co 2.40
Co 0.5000 0.0000 0.6981  2 Co 2.40
Co 0.5000 0.5000 0.0034  2 Co 2.40, 2 Fe 2.41

Energy relative to the elements (eV/atom): 0.8498
Fermi-level density of states (states/eV/atom): 1.516
Total moment (μB/cell): 11.81